1.
A plane-wave DFT calculation with PBE-GGA was carried out for crystalline AcMg4Au at its relaxed geometry.

final energy = -0.1938 Ry/atom
V = 25.699 Å³/atom

a = 4.445 Å, b = 7.874 Å, c = 8.812 Å
α = 90.00°, β = 90.00°, γ = 90.00°
Atoms (fractional coordinates):
1 Ac 0.000 0.603 0.750
2 Ac 0.000 0.397 0.250
3 Mg 0.500 0.955 0.750
4 Mg 0.500 0.045 0.250
5 Mg 0.500 0.705 0.438
6 Mg 0.500 0.295 0.562
7 Mg 0.500 0.705 0.062
8 Mg 0.000 0.000 0.500
9 Mg 0.000 0.000 0.000
10 Mg 0.500 0.295 0.938
11 Au 0.000 0.197 0.750
12 Au 0.000 0.803 0.250


2.
A plane-wave DFT calculation with PBE-GGA was carried out for crystalline VZn2RePt at its relaxed geometry.

final energy = -0.3484 Ry/atom
V = 20.396 Å³/atom

a = 4.668 Å, b = 4.680 Å, c = 4.668 Å
α = 90.00°, β = 90.00°, γ = 90.00°
Atoms (fractional coordinates):
1 V 0.000 0.500 0.000
2 Zn 0.000 0.000 0.500
3 Zn 0.500 0.000 0.000
4 Pt 0.000 0.000 0.000
5 Re 0.500 0.500 0.500


3.
A plane-wave DFT calculation with PBE-GGA was carried out for crystalline Cd5In3Bi12 at its relaxed geometry.

final energy = -0.2016 Ry/atom
V = 37.914 Å³/atom

a = 15.794 Å, b = 15.794 Å, c = 15.794 Å
α = 109.47°, β = 109.47°, γ = 109.47°
Atoms (fractional coordinates):
1 Bi 0.343 0.771 0.420
2 Bi 0.229 0.657 0.080
3 Bi 0.343 0.572 0.423
4 Bi 0.851 0.580 0.923
5 Bi 0.580 0.851 0.423
6 Bi 0.072 0.649 0.729
7 Bi 0.657 0.229 0.580
8 Bi 0.729 0.580 0.157
9 Bi 0.729 0.149 0.072
10 Bi 0.843 0.920 0.271
11 Bi 0.577 0.649 0.420
12 Bi 0.928 0.351 0.271
13 Bi 0.577 0.928 0.657
14 Bi 0.077 0.157 0.428
15 Bi 0.649 0.072 0.229
16 Bi 0.920 0.077 0.649
17 Bi 0.080 0.923 0.351
18 Bi 0.351 0.423 0.080
19 Bi 0.580 0.729 0.657
20 Bi 0.923 0.843 0.572
21 Bi 0.271 0.851 0.928
22 Bi 0.157 0.080 0.729
23 Bi 0.157 0.077 0.928
24 Bi 0.928 0.577 0.157
25 Bi 0.657 0.428 0.577
26 Bi 0.077 0.920 0.149
27 Bi 0.080 0.157 0.229
28 Bi 0.420 0.271 0.343
29 Bi 0.572 0.343 0.923
30 Bi 0.271 0.420 0.843
31 Bi 0.428 0.657 0.077
32 Bi 0.851 0.271 0.428
33 Bi 0.771 0.343 0.920
34 Bi 0.149 0.420 0.077
35 Bi 0.072 0.423 0.843
36 Bi 0.572 0.229 0.149
37 Bi 0.920 0.843 0.771
38 Bi 0.229 0.572 0.649
39 Bi 0.149 0.729 0.572
40 Bi 0.923 0.080 0.851
41 Bi 0.843 0.923 0.072
42 Bi 0.649 0.577 0.920
43 Bi 0.428 0.771 0.851
44 Bi 0.423 0.072 0.343
45 Bi 0.351 0.928 0.771
46 Bi 0.420 0.149 0.577
47 Bi 0.423 0.351 0.580
48 Bi 0.771 0.428 0.351
49 In 0.125 0.875 0.750
50 In 0.250 0.125 0.375
51 In 0.875 0.750 0.125
52 In 0.125 0.250 0.875
53 In 0.250 0.625 0.875
54 In 0.750 0.375 0.125
55 In 0.375 0.625 0.250
56 In 0.375 0.750 0.625
57 In 0.625 0.375 0.750
58 In 0.875 0.125 0.250
59 In 0.625 0.250 0.375
60 In 0.750 0.875 0.625
61 Cd 0.250 0.375 0.625
62 Cd 0.625 0.875 0.250
63 Cd 0.875 0.625 0.750
64 Cd 0.500 0.500 0.000
65 Cd 0.750 0.625 0.375
66 Cd 0.000 0.000 0.500
67 Cd 0.125 0.750 0.375
68 Cd 0.000 0.500 0.500
69 Cd 0.000 0.500 0.000
70 Cd 0.125 0.375 0.250
71 Cd 0.250 0.875 0.125
72 Cd 0.375 0.125 0.750
73 Cd 0.375 0.250 0.125
74 Cd 0.625 0.750 0.875
75 Cd 0.500 0.000 0.500
76 Cd 0.000 0.000 0.000
77 Cd 0.500 0.000 0.000
78 Cd 0.500 0.500 0.500
79 Cd 0.875 0.250 0.625
80 Cd 0.750 0.125 0.875


4.
A plane-wave DFT calculation with PBE-GGA was carried out for crystalline Nd5ErIn4 at its relaxed geometry.

energy above the lowest structure with this stoichiometry = 265.4 meV per atom
final energy = -0.2970 Ry/atom
V = 33.825 Å³/atom

a = 8.734 Å, b = 8.416 Å, c = 9.204 Å
α = 90.00°, β = 90.00°, γ = 90.00°
Atoms (fractional coordinates):
1 In 0.008 0.000 0.339
2 In 0.008 0.000 0.661
3 In 0.992 0.500 0.839
4 In 0.435 0.661 0.500
5 In 0.435 0.339 0.500
6 In 0.565 0.161 0.000
7 In 0.565 0.839 0.000
8 In 0.992 0.500 0.161
9 Er 0.084 0.500 0.500
10 Er 0.916 0.000 0.000
11 Nd 0.656 0.500 0.000
12 Nd 0.266 0.757 0.805
13 Nd 0.266 0.243 0.195
14 Nd 0.734 0.743 0.695
15 Nd 0.266 0.757 0.195
16 Nd 0.344 0.000 0.500
17 Nd 0.734 0.257 0.695
18 Nd 0.734 0.743 0.305
19 Nd 0.734 0.257 0.305
20 Nd 0.266 0.243 0.805